Below is a relaxed structure of HfPd2Pt, with properties calculated at the GGA-PBE level.

The calculated formation energy comes out at -944 meV per atom. For the total energy, the calculation gives -7.539 eV/atom.

It has space group Cmcm (No. 63), with a = 5.6514 Å, b = 9.8699 Å, c = 4.6595 Å, α = 90.00°, β = 90.00° and γ = 90.00°. The distinct sites, in fractional coordinates, are Hf at (0.0000, 0.1700, 0.2500), Pd at (0.2481, 0.4197, 0.2500) and Pt at (0.0000, 0.3331, 0.7500).

Below is a relaxed structure of Hf2PdPt, with properties calculated at the GGA-PBE level.

The calculated formation energy comes out at -210 meV per atom. For the total energy, the calculation gives -7.995 eV/atom.

It has space group I-42d (No. 122), with a = 4.2347 Å, b = 4.2347 Å, c = 18.0291 Å, α = 90.00°, β = 90.00° and γ = 90.00°. The distinct sites, in fractional coordinates, are Hf at (0.2476, 0.2500, 0.1250), Pd at (0.0000, 0.0000, 0.5000) and Pt at (0.0000, 0.0000, 0.0000).

Below is a relaxed structure of Hf4Pd6Pt7, with properties calculated at the GGA-PBE level.

The calculated formation energy comes out at -618 meV per atom. For the total energy, the calculation gives -7.280 eV/atom.

It has space group Im-3m (No. 229), with a = 8.3474 Å, b = 8.3474 Å, c = 8.3474 Å, α = 90.00°, β = 90.00° and γ = 90.00°. The distinct sites, in fractional coordinates, are Hf at (0.2500, 0.2500, 0.2500), Pd at (0.0000, 0.0000, 0.2988), Pt at (0.0000, 0.0000, 0.0000) and Pt at (0.0000, 0.2500, 0.5000).

Below is a relaxed structure of HfPd9Pt4, with properties calculated at the GGA-PBE level.

The calculated formation energy comes out at -111 meV per atom. For the total energy, the calculation gives -5.886 eV/atom.

It has space group P6_3/mmc (No. 194), with a = 7.8548 Å, b = 7.8548 Å, c = 8.7328 Å, α = 90.00°, β = 90.00° and γ = 120.00°. The distinct sites, in fractional coordinates, are Hf at (0.3333, 0.6667, 0.2500), Pd at (0.0641, 0.5320, 0.7500), Pd at (0.2087, 0.4173, 0.0267), Pt at (0.0000, 0.0000, 0.0000) and Pt at (0.1134, 0.2269, 0.7500).

Below is a relaxed structure of Hf2Pd3Pt, with properties calculated at the GGA-PBE level.

The calculated formation energy comes out at -429 meV per atom. For the total energy, the calculation gives -7.350 eV/atom.

It has space group Ibam (No. 72), with a = 8.2810 Å, b = 10.3943 Å, c = 5.4643 Å, α = 90.00°, β = 90.00° and γ = 90.00°. The distinct sites, in fractional coordinates, are Hf at (0.2328, 0.1327, 0.0000), Pd at (0.0000, 0.0000, 0.2500), Pd at (0.0000, 0.2632, 0.2500) and Pt at (0.0000, 0.5000, 0.0000).

Below is a relaxed structure of Hf2Pd3Pt4, with properties calculated at the GGA-PBE level.

The calculated formation energy comes out at -855 meV per atom. For the total energy, the calculation gives -7.483 eV/atom.

It has space group C2/m (No. 12), with a = 9.0337 Å, b = 4.0490 Å, c = 8.4669 Å, α = 90.00°, β = 108.48° and γ = 90.00°. The distinct sites, in fractional coordinates, are Hf at (0.1685, 0.0000, 0.2231), Pd at (0.0000, 0.5000, 0.0000), Pd at (0.1636, 0.0000, 0.5512), Pt at (0.0005, 0.5000, 0.6657) and Pt at (0.1656, 0.0000, 0.8916).

Below is a relaxed structure of HfPdPt, with properties calculated at the GGA-PBE level.

The calculated formation energy comes out at -975 meV per atom. As for the distance to the lowest polymorph of the same formula: 0 meV/atom. For the total energy, the calculation gives -8.037 eV/atom.

It has space group C2/m (No. 12), with a = 8.0505 Å, b = 4.6614 Å, c = 5.5414 Å, α = 90.00°, β = 90.18° and γ = 90.00°. The distinct sites, in fractional coordinates, are Hf at (0.1648, 0.0000, 0.2626), Pd at (0.0000, 0.5000, 0.0000), Pd at (0.0000, 0.5000, 0.5000) and Pt at (0.1691, 0.0000, 0.7588).

Below is a relaxed structure of HfPdPt2, with properties calculated at the GGA-PBE level.

The calculated formation energy comes out at -797 meV per atom. For the total energy, the calculation gives -7.604 eV/atom.

It has space group Fm-3m (No. 225), with a = 6.4529 Å, b = 6.4529 Å, c = 6.4529 Å, α = 90.00°, β = 90.00° and γ = 90.00°. The distinct sites, in fractional coordinates, are Hf at (0.0000, 0.0000, 0.0000), Pd at (0.0000, 0.0000, 0.5000) and Pt at (0.2500, 0.2500, 0.2500).

Below is a relaxed structure of HfPdPt6, with properties calculated at the GGA-PBE level.

The calculated formation energy comes out at -247 meV per atom. As for the distance to the lowest polymorph of the same formula: 345 meV/atom. For the total energy, the calculation gives -6.671 eV/atom.

It has space group C2/m (No. 12), with a = 8.0628 Å, b = 5.3359 Å, c = 7.1498 Å, α = 90.00°, β = 108.55° and γ = 90.00°. The distinct sites, in fractional coordinates, are Hf at (0.0000, 0.0000, 0.0000), Pd at (0.0000, 0.5000, 0.5000), Pt at (0.1496, 0.0000, 0.4496) and Pt at (0.2007, 0.2428, 0.8046).

Below is a relaxed structure of HfPdPt5, with properties calculated at the GGA-PBE level.

The calculated formation energy comes out at 323 meV per atom. For the total energy, the calculation gives -6.156 eV/atom.

It has space group Imm2 (No. 44), with a = 6.9517 Å, b = 8.8328 Å, c = 5.3739 Å, α = 90.00°, β = 90.00° and γ = 90.00°. The distinct sites, in fractional coordinates, are Hf at (0.0000, 0.0000, 0.0000), Pd at (0.0000, 0.5000, 0.3305), Pt at (0.0000, 0.0000, 0.5149), Pt at (0.0000, 0.2521, 0.7148) and Pt at (0.1876, 0.5000, 0.7878).

Below is a relaxed structure of Hf2PdPt6, with properties calculated at the GGA-PBE level.

The calculated formation energy comes out at -849 meV per atom. For the total energy, the calculation gives -7.665 eV/atom.

It has space group C2/m (No. 12), with a = 12.2315 Å, b = 3.9587 Å, c = 6.4412 Å, α = 90.00°, β = 108.45° and γ = 90.00°. The distinct sites, in fractional coordinates, are Hf at (0.0601, 0.0000, 0.3205), Pd at (0.0000, 0.5000, 0.0000), Pt at (0.1047, 0.5000, 0.6655), Pt at (0.1695, 0.0000, 0.0077) and Pt at (0.2203, 0.5000, 0.3374).

Below is a relaxed structure of HfPd2Pt, with properties calculated at the GGA-PBE level.

The calculated formation energy comes out at -694 meV per atom. For the total energy, the calculation gives -7.289 eV/atom.

It has space group Fm-3m (No. 225), with a = 6.4265 Å, b = 6.4265 Å, c = 6.4265 Å, α = 90.00°, β = 90.00° and γ = 90.00°. The distinct sites, in fractional coordinates, are Hf at (0.0000, 0.0000, 0.0000), Pd at (0.2500, 0.2500, 0.2500) and Pt at (0.0000, 0.0000, 0.5000).